A relaxed structure of NpB6Rh12. Source: the Alexandria database, functional PBE.

```
NpB6Rh12
1.0
5.1294 2.9614 2.6605
-5.1294 2.9614 2.6605
0.0000 -5.9229 2.6605
Np B Rh
1 6 12
direct
0.0000 0.0000 0.0000 Np
0.2331 0.2331 0.6692 B
0.2331 0.6692 0.2331 B
0.3308 0.7669 0.7669 B
0.6692 0.2331 0.2331 B
0.7669 0.3308 0.7669 B
0.7669 0.7669 0.3308 B
0.1336 0.5000 0.8664 Rh
0.1336 0.8664 0.5000 Rh
0.1848 0.4463 0.4463 Rh
0.4463 0.1848 0.4463 Rh
0.4463 0.4463 0.1848 Rh
0.5000 0.1336 0.8664 Rh
0.5000 0.8664 0.1336 Rh
0.5537 0.5537 0.8152 Rh
0.5537 0.8152 0.5537 Rh
0.8152 0.5537 0.5537 Rh
0.8664 0.1336 0.5000 Rh
0.8664 0.5000 0.1336 Rh
```

Summary:
**Energy of formation**: -27.6 kJ per mole of atoms

---

A relaxed structure of KYZn2. Source: the Alexandria database, functional PBE.

```
KYZn2
1.0
7.4741 0.0000 0.0000
0.0000 7.4741 0.0000
0.0000 0.0000 7.4741
K Y Zn
4 4 8
direct
0.0000 0.0000 0.0000 K
0.0000 0.5000 0.5000 K
0.5000 0.0000 0.5000 K
0.5000 0.5000 0.0000 K
0.0000 0.0000 0.5000 Y
0.0000 0.5000 0.0000 Y
0.5000 0.0000 0.0000 Y
0.5000 0.5000 0.5000 Y
0.2500 0.2500 0.2500 Zn
0.2500 0.2500 0.7500 Zn
0.2500 0.7500 0.2500 Zn
0.2500 0.7500 0.7500 Zn
0.7500 0.2500 0.2500 Zn
0.7500 0.2500 0.7500 Zn
0.7500 0.7500 0.2500 Zn
0.7500 0.7500 0.7500 Zn
```

Summary:
**Energy of formation**: 15.7 kJ per mole of atoms

---

A relaxed structure of Co2SiHg. Source: the Alexandria database, functional PBE.

```
Co2SiHg
1.0
2.8619 0.0000 0.0000
0.0000 4.0814 0.0000
-1.4101 0.0000 5.1867
Co Si Hg
2 1 1
direct
0.0000 0.0000 0.0000 Co
0.4449 0.5000 0.8818 Co
0.3355 0.0000 0.6676 Si
0.1716 0.5000 0.3360 Hg
```

Summary:
**Uncorrected formation energy**: 0.238 eV/atom

---

Per-record spin magnetization, μB/f.u.: 3.01, 0.00, 1.96